A relaxed structure of Rb2SnOsS6, computed with PBE.

Theoretical density (g/cm3): 4.3
Calculated total energy (eV/cell): -135.1

Geometry as CIF:
```
data_Rb2SnOsS6
_cell_length_a 7.1424
_cell_length_b 7.1424
_cell_length_c 17.7623
_cell_angle_alpha 90.00
_cell_angle_beta 90.00
_cell_angle_gamma 120.00
_symmetry_space_group_name_H-M 'R 3'
_symmetry_Int_Tables_number 146
_symmetry_space_group_name_Hall 'R 3'
loop_
_atom_site_label
_atom_site_fract_x
_atom_site_fract_y
_atom_site_fract_z
Rb1 0.0000 0.0000 0.0000
Rb2 0.0000 0.0000 0.4915
Sn1 0.0000 0.0000 0.6947
Os1 0.0000 0.0000 0.2216
S1 0.0506 0.4847 0.0001
S2 0.1500 0.8098 0.8421
```